--- a ---
NaAsSe2N | GGA-PBE | optimized geometry

## Properties
* space-group type: P4/mmm
* D(E_F): 3.11 states/eV per cell
* M_tot: 0.4 Bohr magnetons per cell

Cell lengths 4.802, 4.802, 4.105 Å; angles 90.00, 90.00, 90.00 degrees
Fractional coordinates of all 5 atoms:
Na1 0.000 0.000 0.000
As1 0.500 0.500 0.000
Se1 0.000 0.500 0.500
Se2 0.500 0.000 0.500
N1 0.500 0.500 0.500


--- b ---
NaAsSe2N | GGA-PBE | optimized geometry

## Properties
* space-group type: P4/mmm
* D(E_F): 3.15 states/eV per cell
* M_tot: 3.0 Bohr magnetons per cell

Cell lengths 5.205, 5.205, 4.183 Å; angles 90.00, 90.00, 90.00 degrees
Fractional coordinates of all 5 atoms:
Na1 0.000 0.000 0.000
As1 0.500 0.500 0.500
Se1 0.000 0.500 0.000
Se2 0.500 0.000 0.000
N1 0.000 0.000 0.500


Of them, a has the highest stability.


--- a ---
NaAsSeN2 | GGA-PBE | optimized geometry

## Properties
* space-group type: P4/mmm
* D(E_F): 3.11 states/eV per cell
* M_tot: 2.0 Bohr magnetons per cell

Cell lengths 3.907, 3.907, 5.278 Å; angles 90.00, 90.00, 90.00 degrees
Fractional coordinates of all 5 atoms:
Na1 0.000 0.000 0.000
As1 0.500 0.500 0.500
Se1 0.500 0.500 0.000
N1 0.000 0.500 0.500
N2 0.500 0.000 0.500


--- b ---
NaAsSeN2 | GGA-PBE | optimized geometry

## Properties
* space-group type: P4/mmm
* D(E_F): 2.33 states/eV per cell
* M_tot: 4.2 Bohr magnetons per cell

Cell lengths 4.311, 4.311, 5.561 Å; angles 90.00, 90.00, 90.00 degrees
Fractional coordinates of all 5 atoms:
Na1 0.000 0.000 0.000
As1 0.500 0.500 0.500
Se1 0.000 0.000 0.500
N1 0.000 0.500 0.000
N2 0.500 0.000 0.000


Of them, a has the highest stability.


--- a ---
NaTe2AsN | GGA-PBE | optimized geometry

## Properties
* space-group type: P4/mmm
* D(E_F): 2.67 states/eV per cell
* M_tot: 0.0 Bohr magnetons per cell

Cell lengths 6.034, 6.034, 3.549 Å; angles 90.00, 90.00, 90.00 degrees
Fractional coordinates of all 5 atoms:
Na1 0.000 0.000 0.000
Te1 0.000 0.500 0.500
Te2 0.500 0.000 0.500
As1 0.500 0.500 0.500
N1 0.500 0.500 0.000


--- b ---
NaTe2AsN | GGA-PBE | optimized geometry

## Properties
* space-group type: P4/mmm
* D(E_F): 3.41 states/eV per cell
* M_tot: 2.8 Bohr magnetons per cell

Cell lengths 5.567, 5.567, 4.224 Å; angles 90.00, 90.00, 90.00 degrees
Fractional coordinates of all 5 atoms:
Na1 0.000 0.000 0.000
Te1 0.000 0.500 0.000
Te2 0.500 0.000 0.000
As1 0.500 0.500 0.500
N1 0.000 0.000 0.500


Of them, a has the highest stability.


--- a ---
NaTeAsN2 | GGA-PBE | optimized geometry

## Properties
* space-group type: P4/mmm
* D(E_F): 3.00 states/eV per cell
* M_tot: 4.2 Bohr magnetons per cell

Cell lengths 4.392, 4.392, 6.204 Å; angles 90.00, 90.00, 90.00 degrees
Fractional coordinates of all 5 atoms:
Na1 0.000 0.000 0.000
Te1 0.000 0.000 0.500
As1 0.500 0.500 0.500
N1 0.000 0.500 0.000
N2 0.500 0.000 0.000


--- b ---
NaTeAsN2 | GGA-PBE | optimized geometry

## Properties
* space-group type: P4/mmm
* D(E_F): 2.81 states/eV per cell
* M_tot: 2.8 Bohr magnetons per cell

Cell lengths 4.080, 4.080, 5.690 Å; angles 90.00, 90.00, 90.00 degrees
Fractional coordinates of all 5 atoms:
Na1 0.000 0.000 0.000
Te1 0.500 0.500 0.000
As1 0.500 0.500 0.500
N1 0.000 0.500 0.500
N2 0.500 0.000 0.500


Of them, b has the highest stability.


--- a ---
Nb2AsN | GGA-PBE | optimized geometry

## Properties
* space-group type: Fm-3m
* D(E_F): 1.72 states/eV per cell
* M_tot: 0.0 Bohr magnetons per cell

Cell lengths 6.085, 6.085, 6.085 Å; angles 90.00, 90.00, 90.00 degrees
Fractional coordinates of all 16 atoms:
Nb1 0.250 0.250 0.250
Nb2 0.250 0.250 0.750
Nb3 0.250 0.750 0.250
Nb4 0.250 0.750 0.750
Nb5 0.750 0.250 0.250
Nb6 0.750 0.250 0.750
Nb7 0.750 0.750 0.250
Nb8 0.750 0.750 0.750
As1 0.000 0.000 0.000
As2 0.000 0.500 0.500
As3 0.500 0.000 0.500
As4 0.500 0.500 0.000
N1 0.000 0.000 0.500
N2 0.000 0.500 0.000
N3 0.500 0.000 0.000
N4 0.500 0.500 0.500


--- b ---
Nb2AsN | GGA-PBE | optimized geometry

## Properties
* space-group type: R-3m
* D(E_F): 7.23 states/eV per cell
* M_tot: 0.0 Bohr magnetons per cell

Cell lengths 4.252, 4.252, 16.909 Å; angles 90.00, 90.00, 120.00 degrees
Fractional coordinates of all 12 atoms:
Nb1 0.000 0.000 0.112
Nb2 0.000 0.000 0.888
Nb3 0.333 0.667 0.555
Nb4 0.333 0.667 0.778
Nb5 0.667 0.333 0.222
Nb6 0.667 0.333 0.445
As1 0.000 0.000 0.500
As2 0.333 0.667 0.167
As3 0.667 0.333 0.833
N1 0.000 0.000 0.000
N2 0.333 0.667 0.667
N3 0.667 0.333 0.333


--- c ---
Nb2AsN | GGA-PBE | optimized geometry

## Properties
* space-group type: I-42d
* D(E_F): 11.93 states/eV per cell
* M_tot: 0.0 Bohr magnetons per cell

Cell lengths 5.193, 5.193, 10.859 Å; angles 90.00, 90.00, 90.00 degrees
Fractional coordinates of all 16 atoms:
Nb1 0.160 0.250 0.125
Nb2 0.250 0.660 0.375
Nb3 0.250 0.840 0.875
Nb4 0.340 0.250 0.625
Nb5 0.660 0.750 0.625
Nb6 0.750 0.160 0.875
Nb7 0.750 0.340 0.375
Nb8 0.840 0.750 0.125
As1 0.000 0.000 0.500
As2 0.000 0.500 0.750
As3 0.500 0.000 0.250
As4 0.500 0.500 0.000
N1 0.000 0.000 0.000
N2 0.000 0.500 0.250
N3 0.500 0.000 0.750
N4 0.500 0.500 0.500


Of them, c has the highest stability.


--- a ---
Nd4As2N | GGA-PBE | optimized geometry

## Properties
* space-group type: I4/mmm
* D(E_F): 14.62 states/eV per cell
* M_tot: 0.0 Bohr magnetons per cell

Cell lengths 4.756, 4.756, 15.798 Å; angles 90.00, 90.00, 90.00 degrees
Fractional coordinates of all 14 atoms:
Nd1 0.000 0.000 0.170
Nd2 0.000 0.000 0.830
Nd3 0.000 0.500 0.000
Nd4 0.000 0.500 0.500
Nd5 0.500 0.000 0.000
Nd6 0.500 0.000 0.500
Nd7 0.500 0.500 0.330
Nd8 0.500 0.500 0.670
As1 0.000 0.000 0.362
As2 0.000 0.000 0.638
As3 0.500 0.500 0.138
As4 0.500 0.500 0.862
N1 0.000 0.000 0.000
N2 0.500 0.500 0.500


--- b ---
Nd4As2N | GGA-PBE | optimized geometry

## Properties
* space-group type: C2/m
* D(E_F): 9.32 states/eV per cell
* M_tot: 2.2 Bohr magnetons per cell

Cell lengths 14.803, 3.986, 7.094 Å; angles 90.00, 118.26, 90.00 degrees
Fractional coordinates of all 14 atoms:
Nd1 0.113 0.000 0.408
Nd2 0.115 0.500 0.978
Nd3 0.385 0.000 0.022
Nd4 0.387 0.500 0.592
Nd5 0.613 0.500 0.408
Nd6 0.615 0.000 0.978
Nd7 0.885 0.500 0.022
Nd8 0.887 0.000 0.592
As1 0.230 0.500 0.733
As2 0.270 0.000 0.267
As3 0.730 0.000 0.733
As4 0.770 0.500 0.267
N1 0.000 0.000 0.000
N2 0.500 0.500 0.000


Of them, a has the highest stability.